The following is a DFT calculation (GGA+U) of a relaxed structure of TmCo3Sn4O12.

The density is 7.19 g/cm3. The value obtained for the total energy is -126.126 eV/f.u.

It has space group Im-3 (No. 204), with a = 7.763 Å, b = 7.763 Å, c = 7.763 Å, α = 90.00°, β = 90.00° and γ = 90.00°. The distinct sites, in fractional coordinates, are Tm at (0.000, 0.000, 0.000), Co at (0.000, 0.000, 0.500), Sn at (0.250, 0.250, 0.250) and O at (0.000, 0.168, 0.298).